A plane-wave DFT calculation with PBE was carried out for a relaxed TbNdTm3Sc crystal.

Cell: 7.810 7.810 9.901 Å, 90.00 90.00 143.09°
Atoms (fractional coordinates):
Tb  0.000  0.000  0.000
Tb  0.000  0.000  0.500
Nd  0.498  0.502  0.750
Nd  0.502  0.498  0.250
Tm  0.170  0.830  0.750
Tm  0.331  0.669  0.000
Tm  0.331  0.669  0.500
Tm  0.669  0.331  0.000
Tm  0.669  0.331  0.500
Tm  0.830  0.170  0.250
Sc  0.169  0.831  0.250
Sc  0.831  0.169  0.750

## Properties
ΔE_f: 0.04 eV/atom


A plane-wave DFT calculation with PBE was carried out for a relaxed BaEuHgRh crystal.

Cell: 7.692 7.692 7.692 Å, 90.00 90.00 90.00°
Atoms (fractional coordinates):
Ba  0.000  0.000  0.000
Ba  0.000  0.500  0.500
Ba  0.500  0.000  0.500
Ba  0.500  0.500  0.000
Eu  0.000  0.000  0.500
Eu  0.000  0.500  0.000
Eu  0.500  0.000  0.000
Eu  0.500  0.500  0.500
Hg  0.250  0.250  0.250
Hg  0.250  0.750  0.750
Hg  0.750  0.250  0.750
Hg  0.750  0.750  0.250
Rh  0.250  0.250  0.750
Rh  0.250  0.750  0.250
Rh  0.750  0.250  0.250
Rh  0.750  0.750  0.750

## Properties
ΔE_f: -0.27 eV/atom


A plane-wave DFT calculation with PBE was carried out for a relaxed NiOsBr2 crystal.

Cell: 3.052 4.467 11.734 Å, 90.00 90.00 90.00°
Atoms (fractional coordinates):
Ni  0.000  0.000  0.000
Ni  0.500  0.500  0.500
Os  0.000  0.500  0.667
Os  0.500  0.000  0.167
Br  0.000  0.000  0.356
Br  0.000  0.500  0.139
Br  0.500  0.000  0.639
Br  0.500  0.500  0.856

## Properties
E above lowest polymorph: 485 meV/atom
formation energy without anion corrections: 0.93 eV/atom


The calculation returns the following E_tot values, one per record and in order: -4.817 -5.235 -4.157 eV/atom.
The calculation returns the following N(E_F) values, one per record and in order: 1.479 2.460 1.293 states/eV per atom.
The calculation returns the following calculated density values, one per record and in order: 7.8 8.7 8.5 g/cm³.